No. 1
VASP calculation (PBE-GGA) on an optimized crystal structure of Sm2TlCoNi.

Results
As for the raw total energy: -5.21 eV/atom. As for the symmetry: No. 38.

Cell lengths 3.822, 7.543, 7.543 Å; angles 30.15, 90.00, 90.00 degrees
Positions (direct):
Sm  0.000  0.000  0.000
Sm  0.000  0.277  0.277
Tl  0.500  0.637  0.637
Co  0.500  0.435  0.435
Ni  0.500  0.841  0.841



No. 2
VASP calculation (PBE-GGA) on an optimized crystal structure of Co2NiSn.

Results
As for the raw total energy: -5.89 eV/atom. As for the symmetry: No. 216.

Cell lengths 4.185, 4.185, 4.185 Å; angles 60.00, 60.00, 60.00 degrees
Positions (direct):
Co  0.000  0.000  0.000
Co  0.250  0.250  0.250
Ni  0.750  0.750  0.750
Sn  0.500  0.500  0.500



No. 3
VASP calculation (PBE-GGA) on an optimized crystal structure of CoNiSn.

Results
As for the raw total energy: -5.59 eV/atom. As for the symmetry: No. 194.

Cell lengths 4.284, 4.284, 5.263 Å; angles 90.00, 90.00, 120.00 degrees
Positions (direct):
Co  0.000  0.000  0.000
Co  0.000  0.000  0.500
Ni  0.333  0.667  0.250
Ni  0.667  0.333  0.750
Sn  0.333  0.667  0.750
Sn  0.667  0.333  0.250



Number 1: spin magnetization 0.5 μB per cell, calculated volume 109.2 Å³/cell. Number 2: spin magnetization 2.6 μB per cell, calculated volume 51.8 Å³/cell. Number 3: spin magnetization 2.1 μB per cell, calculated volume 83.6 Å³/cell.